Compound: Ac2HgPd7
Source: the Alexandria database
Functional: GGA-PBE
Structure: relaxed

Lattice parameters (Å, degrees): 4.1300 4.1300 12.5627 90.00 90.00 90.00
Space group P-4m2 (No. 115)
Symmetry-distinct sites (fractional):
Ac  0.0000  0.5000  0.2309 x2
Hg  0.0000  0.0000  0.5000 x1
Pd  0.0000  0.0000  0.0000 x1
Pd  0.0000  0.5000  0.6499 x2
Pd  0.0000  0.5000  0.8587 x2
Pd  0.5000  0.5000  0.0000 x1
Pd  0.5000  0.5000  0.5000 x1

=====

Compound: Ac2Hg3Pd
Source: the Alexandria database
Functional: GGA-PBE
Structure: relaxed

Lattice parameters (Å, degrees): 3.9535 4.9620 8.6791 90.00 90.00 90.00
Space group Pmm2 (No. 25)
Symmetry-distinct sites (fractional):
Ac  0.0000  0.0000  0.0000 x1
Ac  0.0000  0.5000  0.4551 x1
Hg  0.5000  0.0000  0.6287 x1
Hg  0.5000  0.5000  0.1433 x1
Hg  0.5000  0.5000  0.8047 x1
Pd  0.5000  0.0000  0.3023 x1

=====

Compound: Ac3Hg7Pd4
Source: the Alexandria database
Functional: GGA-PBE
Structure: relaxed

Lattice parameters (Å, degrees): 17.1047 4.5547 10.6243 90.00 123.73 90.00
Space group C2/m (No. 12)
Symmetry-distinct sites (fractional):
Ac  0.0000  0.0000  0.0000 x2
Ac  0.1936  0.5000  0.7035 x4
Hg  0.0000  0.0000  0.5000 x2
Hg  0.0099  0.5000  0.2974 x4
Hg  0.1622  0.0000  0.4288 x4
Hg  0.1792  0.5000  0.0175 x4
Pd  0.1144  0.0000  0.8231 x4
Pd  0.1586  0.5000  0.2562 x4

=====

Compound: Ac3HgPd5
Source: the Alexandria database
Functional: GGA-PBE
Structure: relaxed

Lattice parameters (Å, degrees): 8.7451 8.7451 12.2185 90.00 90.00 90.00
Space group I4/mcm (No. 140)
Symmetry-distinct sites (fractional):
Ac  0.0000  0.0000  0.2500 x4
Ac  0.1406  0.3594  0.0000 x8
Hg  0.0000  0.5000  0.2500 x4
Pd  0.0000  0.0000  0.0000 x4
Pd  0.1937  0.3063  0.3491 x16

=====

Compound: Ac2HgPd
Source: the Alexandria database
Functional: GGA-PBE
Structure: relaxed

Lattice parameters (Å, degrees): 11.8218 5.4153 9.1028 90.00 112.67 90.00
Space group C2/c (No. 15)
Symmetry-distinct sites (fractional):
Ac  0.1769  0.0001  0.0884 x8
Hg  0.0000  0.4984  0.2500 x4
Pd  0.0000  0.0017  0.7500 x4

Computed properties:
Offset from the most stable computed form (eV/f.u.): 1.12

=====

Compound: Ac6Hg2Pd
Source: the Alexandria database
Functional: GGA-PBE
Structure: relaxed

Lattice parameters (Å, degrees): 7.3005 8.3321 13.0445 90.00 119.67 90.00
Space group P2_1/c (No. 14)
Symmetry-distinct sites (fractional):
Ac  0.1141  0.2034  0.4407 x4
Ac  0.2813  0.6706  0.4394 x4
Ac  0.3839  0.0335  0.2429 x4
Hg  0.1621  0.1070  0.7263 x4
Pd  0.5000  0.0000  0.5000 x2

=====

Values for DFT formation energy, eV per atom, ordered as above
-0.529, -0.568, -0.514, -0.494, -0.332, -0.334
Values for DOS(E_F), states/eV/cell, ordered as above
3.734, 4.560, 15.517, 20.893, 16.010, 22.489